PBE-GGA V4TcW3, optimized geometry; magnetization = 0.0 μB per formula unit; E = -10.878 eV per atom
1.0
3.067 0.000 0.000
0.000 3.067 0.000
0.000 0.000 12.308
Tc W V
1 3 4
Cartesian
1.533 1.533 0.000
1.533 1.533 3.056
1.533 1.533 6.154
1.533 1.533 9.251
0.000 0.000 10.813
0.000 0.000 1.495
0.000 0.000 4.596
0.000 0.000 7.712